1.
Ce4Ni3Pt after structural relaxation. Source: Alexandria via LeMat-Bulk, functional GGA-PBE.

Calculated values
D(E_F) = 16.4 states/eV/cell
Formation energy = -0.498 eV/atom
E = -6.39 eV per atom

a = 3.7094 Å, b = 4.2986 Å, c = 10.7034 Å
α = 90.00°, β = 90.00°, γ = 90.00°
Closest atoms and distances in Å follow each position.
Fractional positions:
Ce1 0.0000 0.0000 0.0000  6 Ni 2.88-2.90, 1 Pt 3.07
Ce2 0.0000 0.5000 0.2640  7 Ni 2.90-2.97
Ce3 0.5000 0.0000 0.4824  5 Ni 2.89-2.94, 2 Pt 3.09
Ce4 0.5000 0.5000 0.7667  4 Pt 2.90, 3 Ni 3.01-3.10
Ni1 0.0000 0.5000 0.5347  2 Pt 2.88, 7 Ce 2.89-3.10
Ni2 0.5000 0.0000 0.2079  2 Ni 2.75, 7 Ce 2.90-2.94
Ni3 0.5000 0.5000 0.0476  2 Ni 2.75, 7 Ce 2.88-3.01
Pt1 0.0000 0.0000 0.7136  2 Ni 2.88, 7 Ce 2.90-3.09

2.
Si2BO2 after structural relaxation. Source: Alexandria via LeMat-Bulk, functional GGA-PBE.

Calculated values
D(E_F) = 3.5 states/eV/cell
Offset from the most stable computed form = 540 meV/atom
Raw formation energy = -0.147 eV per atom
E = -5.63 eV per atom

a = 3.2207 Å, b = 3.2207 Å, c = 8.9879 Å
α = 90.00°, β = 90.00°, γ = 90.00°
Closest atoms and distances in Å follow each position.
Fractional positions:
Si1 0.0000 0.0000 0.1307  4 O 1.93
Si2 0.0000 0.0000 0.8693  4 O 1.93
Si3 0.5000 0.5000 0.3693  4 O 1.93
Si4 0.5000 0.5000 0.6307  4 O 1.93
B1 0.0000 0.0000 0.5000  8 Si 2.56, 8 O 2.76
B2 0.5000 0.5000 0.0000  8 Si 2.56, 8 O 2.76
O1 0.0000 0.5000 0.2500  4 Si 1.93
O2 0.0000 0.5000 0.7500  4 Si 1.93
O3 0.5000 0.0000 0.2500  4 Si 1.93
O4 0.5000 0.0000 0.7500  4 Si 1.93

3.
Tb2PdRu after structural relaxation. Source: Alexandria via LeMat-Bulk, functional GGA-PBE.

Calculated values
D(E_F) = 9.1 states/eV/cell
Formation energy = -0.618 eV/atom
E = -6.55 eV per atom

a = 6.9268 Å, b = 6.9268 Å, c = 6.9268 Å
α = 90.00°, β = 90.00°, γ = 90.00°
Closest atoms and distances in Å follow each position.
Fractional positions:
Tb1 0.2500 0.2500 0.2500  4 Ru 3.00, 4 Pd 3.00
Tb2 0.2500 0.2500 0.7500  4 Ru 3.00, 4 Pd 3.00
Tb3 0.2500 0.7500 0.2500  4 Ru 3.00, 4 Pd 3.00
Tb4 0.2500 0.7500 0.7500  4 Ru 3.00, 4 Pd 3.00
Tb5 0.7500 0.2500 0.2500  4 Ru 3.00, 4 Pd 3.00
Tb6 0.7500 0.2500 0.7500  4 Ru 3.00, 4 Pd 3.00
Tb7 0.7500 0.7500 0.2500  4 Ru 3.00, 4 Pd 3.00
Tb8 0.7500 0.7500 0.7500  4 Ru 3.00, 4 Pd 3.00
Pd1 0.0000 0.0000 0.0000  8 Tb 3.00
Pd2 0.0000 0.5000 0.5000  8 Tb 3.00
Pd3 0.5000 0.0000 0.5000  8 Tb 3.00
Pd4 0.5000 0.5000 0.0000  8 Tb 3.00
Ru1 0.0000 0.0000 0.5000  8 Tb 3.00
Ru2 0.0000 0.5000 0.0000  8 Tb 3.00
Ru3 0.5000 0.0000 0.0000  8 Tb 3.00
Ru4 0.5000 0.5000 0.5000  8 Tb 3.00

4.
Hf2GaSb after structural relaxation. Source: Alexandria via LeMat-Bulk, functional GGA-PBE.

Calculated values
D(E_F) = 7.4 states/eV/cell
Offset from the most stable computed form = 245 meV/atom
Raw formation energy = -0.160 eV per atom
E = -6.92 eV per atom

a = 3.7483 Å, b = 3.7483 Å, c = 22.3213 Å
α = 90.00°, β = 90.00°, γ = 120.00°
Closest atoms and distances in Å follow each position.
Fractional positions:
Hf1 0.0000 0.0000 0.0000  3 Ga 2.80, 3 Sb 2.87
Hf2 0.0000 0.0000 0.1620  3 Ga 2.84, 3 Sb 2.91
Hf3 0.3333 0.6667 0.6667  3 Ga 2.80, 3 Sb 2.87
Hf4 0.3333 0.6667 0.8286  3 Ga 2.84, 3 Sb 2.91
Hf5 0.6667 0.3333 0.3333  3 Ga 2.80, 3 Sb 2.87
Hf6 0.6667 0.3333 0.4953  3 Ga 2.84, 3 Sb 2.91
Ga1 0.0000 0.0000 0.4129  6 Hf 2.80-2.84
Ga2 0.3333 0.6667 0.0796  6 Hf 2.80-2.84
Ga3 0.6667 0.3333 0.7463  6 Hf 2.80-2.84
Sb1 0.0000 0.0000 0.5822  6 Hf 2.87-2.91
Sb2 0.3333 0.6667 0.2489  6 Hf 2.87-2.91
Sb3 0.6667 0.3333 0.9156  6 Hf 2.87-2.91

5.
NaPmInPt after structural relaxation. Source: Alexandria via LeMat-Bulk, functional GGA-PBE.

Calculated values
D(E_F) = 27.7 states/eV/cell
Formation energy = -0.523 eV/atom
E = -4.24 eV per atom

a = 7.0489 Å, b = 7.0489 Å, c = 7.0489 Å
α = 90.00°, β = 90.00°, γ = 90.00°
Closest atoms and distances in Å follow each position.
Fractional positions:
Na1 0.0000 0.0000 0.0000  4 Pm 3.05, 4 In 3.05
Na2 0.0000 0.5000 0.5000  4 In 3.05, 4 Pm 3.05
Na3 0.5000 0.0000 0.5000  4 In 3.05, 4 Pm 3.05
Na4 0.5000 0.5000 0.0000  4 In 3.05, 4 Pm 3.05
Pm1 0.2500 0.2500 0.7500  4 Na 3.05, 4 Pt 3.05
Pm2 0.2500 0.7500 0.2500  4 Na 3.05, 4 Pt 3.05
Pm3 0.7500 0.2500 0.2500  4 Na 3.05, 4 Pt 3.05
Pm4 0.7500 0.7500 0.7500  4 Na 3.05, 4 Pt 3.05
In1 0.2500 0.2500 0.2500  4 Na 3.05, 4 Pt 3.05
In2 0.2500 0.7500 0.7500  4 Na 3.05, 4 Pt 3.05
In3 0.7500 0.2500 0.7500  4 Na 3.05, 4 Pt 3.05
In4 0.7500 0.7500 0.2500  4 Na 3.05, 4 Pt 3.05
Pt1 0.0000 0.0000 0.5000  4 In 3.05, 4 Pm 3.05
Pt2 0.0000 0.5000 0.0000  4 In 3.05, 4 Pm 3.05
Pt3 0.5000 0.0000 0.0000  4 In 3.05, 4 Pm 3.05
Pt4 0.5000 0.5000 0.5000  4 In 3.05, 4 Pm 3.05

6.
SrSc2Cl after structural relaxation. Source: Alexandria via LeMat-Bulk, functional GGA-PBE.

Calculated values
D(E_F) = 4.2 states/eV/cell
Offset from the most stable computed form = 507 meV/atom
Raw formation energy = -0.070 eV per atom
E = -4.12 eV per atom

a = 3.4503 Å, b = 5.7837 Å, c = 6.3100 Å
α = 90.00°, β = 90.00°, γ = 90.00°
Closest atoms and distances in Å follow each position.
Fractional positions:
Sr1 0.0000 0.0000 0.0000  2 Cl 2.89
Sc1 0.5000 0.2373 0.5000  2 Sc 2.75-3.04
Sc2 0.5000 0.7627 0.5000  2 Sc 2.75-3.04
Cl1 0.0000 0.5000 0.0000  2 Sr 2.89

The following total magnetization values (in μB per formula unit) correspond, in order, to the records above: 1.915; 0.000; 0.000; 0.000; 0.003; 0.556.